No. 1
The following is a PBE-GGA calculation of PrTmCd after structural relaxation, from Alexandria.

POSCAR file:
```
PrTmCd
1.0
-0.578 0.247 3.546
-3.853 -6.763 -0.156
6.895 -3.350 1.356
Cd Tm Pr
2 2 2
Direct
0.000 0.000 0.000
0.500 0.500 0.500
0.000 0.724 0.724
0.000 0.276 0.276
0.500 0.226 0.774
0.500 0.774 0.226
```

Results
Raw total energy (eV for the cell shown): -18.64
DOS(E_F) (states/eV per atom): 1.9129
Total moment (μB per formula unit): 0.00
Excess energy over the best structure of this formula in the dataset (meV/atom): 473


No. 2
The following is a PBE-GGA calculation of Si2Sb2Pb after structural relaxation, from Alexandria.

POSCAR file:
```
Si2Sb2Pb
1.0
-2.758 -4.377 6.095
1.254 -6.671 -4.223
3.438 -0.233 1.389
Pb Sb Si
2 4 4
Direct
0.000 0.000 0.000
0.500 0.500 0.000
0.170 0.670 0.500
0.670 0.830 0.500
0.830 0.330 0.500
0.330 0.170 0.500
0.387 0.887 0.000
0.887 0.613 0.000
0.613 0.113 0.000
0.113 0.387 0.000
```

Results
Raw total energy (eV for the cell shown): -41.74
E_form (uncorrected) (meV per atom): 386
DOS(E_F) (states/eV per atom): 0.4953
Total moment (μB per formula unit): 0.00
Excess energy over the best structure of this formula in the dataset (meV/atom): 110


No. 3
The following is a PBE-GGA calculation of GaCu2Ni2 after structural relaxation, from Alexandria.

POSCAR file:
```
GaCu2Ni2
1.0
-3.140 1.339 2.303
0.935 -3.701 3.425
4.723 4.746 -0.001
Ga Cu Ni
2 4 4
Direct
0.369 0.119 0.239
0.631 0.881 0.761
0.624 0.374 0.748
0.000 0.750 0.500
0.000 0.250 0.500
0.376 0.626 0.252
0.815 0.319 0.130
0.815 0.812 0.130
0.185 0.188 0.870
0.185 0.681 0.870
```

Results
Raw total energy (eV for the cell shown): -46.70
DOS(E_F) (states/eV per atom): 0.5708
Total moment (μB per formula unit): 0.00


No. 4
The following is a PBE-GGA calculation of AcNd2Hg2 after structural relaxation, from Alexandria.

POSCAR file:
```
AcNd2Hg2
1.0
-1.944 2.985 1.547
-3.075 -0.762 -2.394
-5.653 -6.875 6.157
Ac Nd Hg
1 2 2
Direct
0.000 0.000 0.000
0.000 0.180 0.640
0.000 0.820 0.360
0.500 0.399 0.202
0.500 0.601 0.798
```

Results
Raw total energy (eV for the cell shown): -15.63
DOS(E_F) (states/eV per atom): 1.2071
Total moment (μB per formula unit): 0.73
Excess energy over the best structure of this formula in the dataset (meV/atom): 25


No. 5
The following is a PBE-GGA calculation of PrAg2SbS4 after structural relaxation, from Alexandria.

POSCAR file:
```
PrAg2SbS4
1.0
8.008 -0.186 -0.157
-0.192 8.008 -0.157
-3.982 -3.984 5.844
Pr Ag Sb S
2 4 2 8
Direct
0.000 0.500 0.000
0.000 0.500 0.500
0.500 0.000 0.000
0.500 0.000 0.500
0.000 0.000 0.500
0.500 0.500 0.000
0.500 0.500 0.500
0.000 0.000 0.000
0.245 0.768 0.001
0.732 0.255 0.499
0.268 0.745 0.501
0.755 0.232 0.999
0.745 0.741 0.991
0.759 0.755 0.509
0.241 0.245 0.491
0.255 0.259 0.009
```

Results
Raw total energy (eV for the cell shown): -72.96
E_form (uncorrected) (meV per atom): -671
Total moment (μB per formula unit): 0.00


No. 6
The following is a PBE-GGA calculation of Sc4TaFe19P12 after structural relaxation, from Alexandria.

POSCAR file:
```
Sc4TaFe19P12
1.0
-2.601 2.236 1.128
-5.971 -3.072 -7.684
-4.464 -8.564 6.681
Sc P Fe Ta
4 12 19 1
Direct
0.250 0.574 0.703
0.250 0.918 0.207
0.750 0.425 0.299
0.750 0.086 0.790
0.250 0.422 0.119
0.250 0.077 0.613
0.750 0.571 0.879
0.750 0.923 0.385
0.250 0.263 0.863
0.250 0.241 0.372
0.750 0.735 0.143
0.750 0.757 0.626
0.250 0.600 0.395
0.250 0.921 0.889
0.750 0.396 0.609
0.750 0.100 0.104
0.250 0.219 0.178
0.250 0.275 0.673
0.750 0.785 0.818
0.750 0.722 0.331
0.250 0.875 0.701
0.250 0.621 0.205
0.750 0.127 0.297
0.750 0.376 0.799
0.250 0.406 0.490
0.250 0.100 0.988
0.750 0.590 0.513
0.750 0.909 0.009
0.250 0.458 0.934
0.250 0.038 0.431
0.750 0.531 0.069
0.750 0.962 0.567
0.250 0.791 0.493
0.750 0.294 0.010
0.750 0.207 0.509
0.250 0.704 0.990
```

Results
Raw total energy (eV for the cell shown): -290.76
DOS(E_F) (states/eV per atom): 0.8650
Total moment (μB per formula unit): 5.80


- What is the formula in the fifth record?
  PrAg2SbS4


- The lowest raw total energy belongs to which entry?
  Sc4TaFe19P12